Co2TcRuO6, optimized geometry, DFT GGA+U; volume = 10.76 Å³/atom; final energy = -70.00 eV/cell; space group = R3; density = 6.4 g/cm³
1.0
-2.710 -0.757 -4.356
2.436 -0.171 -4.576
0.450 -4.878 -2.523
O Co Ru Tc
6 2 1 1
direct
0.936 0.586 0.266
0.434 0.709 0.770
0.709 0.087 0.769
0.586 0.211 0.266
0.211 0.936 0.266
0.087 0.434 0.770
0.530 0.529 0.411
0.023 0.023 0.930
0.821 0.822 0.535
0.323 0.323 0.032